(1)
The following is a PBE-GGA calculation of crystalline Hf6TaAl5 at its relaxed geometry, from Alexandria.

Results
magnetization = 0.0 μB per formula unit
electronic total energy = -7.820 eV per atom
D(E_F) = 9.6 states/eV/f.u.
energy of formation from the pure elements = -296 meV per atom

a = 5.0448 Å, b = 6.1790 Å, c = 7.3610 Å
α = 90.00°, β = 94.95°, γ = 90.00°
Space group P2/m (No. 10)
Symmetry-distinct sites (fractional):
Hf1 0.0000 0.2462 0.0000 x2
Hf2 0.3433 0.2500 0.6687 x4
Ta1 0.5000 0.5000 0.0000 x1
Al1 0.1593 0.0000 0.3402 x2
Al2 0.1627 0.5000 0.3279 x2
Al3 0.5000 0.0000 0.0000 x1



(2)
The following is a PBE-GGA calculation of crystalline RbHf2RhC at its relaxed geometry, from Alexandria.

Results
magnetization = 0.0 μB per formula unit
electronic total energy = -4.563 eV per atom
D(E_F) = 4.8 states/eV/f.u.
energy of formation from the pure elements = 2927 meV per atom

a = 5.1133 Å, b = 5.1133 Å, c = 3.9350 Å
α = 90.00°, β = 90.00°, γ = 90.00°
Space group P4/mmm (No. 123)
Symmetry-distinct sites (fractional):
Rb1 0.0000 0.0000 0.0000 x1
Hf1 0.0000 0.5000 0.0000 x2
Rh1 0.5000 0.5000 0.5000 x1
C1 0.0000 0.0000 0.5000 x1



(3)
The following is a PBE-GGA calculation of crystalline LiFeSiRu at its relaxed geometry, from Alexandria.

Results
magnetization = 2.8 μB per formula unit
electronic total energy = -6.577 eV per atom
D(E_F) = 1.5 states/eV/f.u.
formation energy without anion corrections = -0.308 eV per atom

a = 5.8214 Å, b = 5.8214 Å, c = 5.8214 Å
α = 90.00°, β = 90.00°, γ = 90.00°
Space group F-43m (No. 216)
Symmetry-distinct sites (fractional):
Li1 0.0000 0.0000 0.0000 x4
Fe1 0.2500 0.2500 0.2500 x4
Si1 0.2500 0.2500 0.7500 x4
Ru1 0.0000 0.0000 0.5000 x4



(4)
The following is a PBE-GGA calculation of crystalline Zr2NbBr at its relaxed geometry, from Alexandria.

Results
polymorph energy (0 for the lowest one) = 0 meV/atom
magnetization = 0.0 μB per formula unit
electronic total energy = -6.875 eV per atom
D(E_F) = 1.6 states/eV/f.u.
formation energy without anion corrections = 0.334 eV per atom

a = 6.9361 Å, b = 6.9361 Å, c = 6.9361 Å
α = 90.00°, β = 90.00°, γ = 90.00°
Space group Fm-3m (No. 225)
Symmetry-distinct sites (fractional):
Zr1 0.2500 0.2500 0.2500 x8
Nb1 0.0000 0.0000 0.0000 x4
Br1 0.0000 0.0000 0.5000 x4



(5)
The following is a PBE-GGA calculation of crystalline Hf2InOs at its relaxed geometry, from Alexandria.

Results
magnetization = 0.0 μB per formula unit
electronic total energy = -8.842 eV per atom
D(E_F) = 3.1 states/eV/f.u.
energy of formation from the pure elements = -373 meV per atom

a = 3.1641 Å, b = 3.1641 Å, c = 7.9147 Å
α = 90.00°, β = 90.00°, γ = 90.00°
Space group P4/mmm (No. 123)
Symmetry-distinct sites (fractional):
Hf1 0.0000 0.0000 0.2108 x2
In1 0.5000 0.5000 0.5000 x1
Os1 0.5000 0.5000 0.0000 x1



(6)
The following is a PBE-GGA calculation of crystalline La2InW at its relaxed geometry, from Alexandria.

Results
magnetization = 0.0 μB per formula unit
electronic total energy = -5.832 eV per atom
D(E_F) = 4.7 states/eV/f.u.
energy of formation from the pure elements = 555 meV per atom

a = 8.5841 Å, b = 8.5841 Å, c = 6.0800 Å
α = 90.00°, β = 90.00°, γ = 90.00°
Space group I-42d (No. 122)
Symmetry-distinct sites (fractional):
La1 0.1948 0.7500 0.1250 x8
In1 0.0000 0.0000 0.5000 x4
W1 0.0000 0.0000 0.0000 x4



(7)
The following is a PBE-GGA calculation of crystalline Ce5NdIn6 at its relaxed geometry, from Alexandria.

Results
magnetization = 5.8 μB per formula unit
electronic total energy = -4.618 eV per atom
D(E_F) = 29.0 states/eV/f.u.
energy of formation from the pure elements = -379 meV per atom

a = 16.7089 Å, b = 6.7961 Å, c = 5.8382 Å
α = 90.00°, β = 92.26°, γ = 90.00°
Space group C2/m (No. 12)
Symmetry-distinct sites (fractional):
Ce1 0.0000 0.0000 0.0000 x2
Ce2 0.1670 0.0000 0.6558 x4
Ce3 0.1708 0.5000 0.6482 x4
Nd1 0.0000 0.5000 0.0000 x2
In1 0.0000 0.2519 0.5000 x4
In2 0.1681 0.2507 0.1540 x8



(8)
The following is a PBE-GGA calculation of crystalline Nd5Tl at its relaxed geometry, from Alexandria.

Results
polymorph energy (0 for the lowest one) = 57 meV/atom
magnetization = 0.0 μB per formula unit
electronic total energy = -4.419 eV per atom
D(E_F) = 7.2 states/eV/f.u.
energy of formation from the pure elements = -51 meV per atom

a = 5.8742 Å, b = 11.2132 Å, c = 5.9429 Å
α = 90.00°, β = 90.00°, γ = 90.00°
Space group Cmmm (No. 65)
Symmetry-distinct sites (fractional):
Nd1 0.0000 0.0000 0.0000 x2
Nd2 0.0000 0.1562 0.5000 x4
Nd3 0.0000 0.3423 0.0000 x4
Tl1 0.0000 0.5000 0.5000 x2



(9)
The following is a PBE-GGA calculation of crystalline CsVS3 at its relaxed geometry, from Alexandria.

Results
polymorph energy (0 for the lowest one) = 19 meV/atom
magnetization = 0.0 μB per formula unit
electronic total energy = -5.436 eV per atom
D(E_F) = 0.7 states/eV/f.u.
formation energy without anion corrections = -0.966 eV per atom

a = 5.5364 Å, b = 7.6968 Å, c = 7.8009 Å
α = 61.59°, β = 86.31°, γ = 89.66°
Space group P1 (No. 1)
Symmetry-distinct sites (fractional):
Cs1 0.0000 0.0000 0.0000 x1
Cs2 0.4896 0.6485 0.6245 x1
V1 0.2867 0.2567 0.4029 x1
V2 0.7731 0.2663 0.3767 x1
S1 0.0137 0.0104 0.4571 x1
S2 0.0225 0.4685 0.4386 x1
S3 0.4940 0.5627 0.1874 x1
S4 0.5128 0.1605 0.6589 x1
S5 0.5213 0.1424 0.2293 x1
S6 0.8056 0.5416 0.0381 x1